LiSbTe2WO12 | meta-GGA SCAN | single point on PBEsol structure

Cell lengths 5.078, 5.295, 7.338 Å; angles 93.62, 90.14, 90.03 degrees
Space group P1 (No. 1)
Inequivalent atoms, fractional coordinates:
Li: 0.000 0.000 0.000 (multiplicity 1)
Sb: 0.501 0.922 0.777 (multiplicity 1)
Te: 0.002 0.426 0.782 (multiplicity 1)
Te: 0.504 0.927 0.285 (multiplicity 1)
W: 0.003 0.432 0.289 (multiplicity 1)
O: 0.108 0.412 0.038 (multiplicity 1)
O: 0.170 0.103 0.732 (multiplicity 1)
O: 0.198 0.728 0.341 (multiplicity 1)
O: 0.301 0.229 0.340 (multiplicity 1)
O: 0.316 0.598 0.719 (multiplicity 1)
O: 0.370 0.919 0.038 (multiplicity 1)
O: 0.634 0.928 0.527 (multiplicity 1)
O: 0.699 0.618 0.228 (multiplicity 1)
O: 0.704 0.230 0.857 (multiplicity 1)
O: 0.810 0.114 0.221 (multiplicity 1)
O: 0.820 0.734 0.853 (multiplicity 1)
O: 0.883 0.427 0.532 (multiplicity 1)

Output
Energy relative to the elements, uncorrected: -145 kJ/mol of atoms
Spin magnetization: 0.000 μB/cell